Entry 1:
The following is a DFT calculation (GGA-PBE) of a relaxed structure of FeHgSe2.

It has space group F-43m (No. 216), with a = 6.859 Å, b = 6.859 Å, c = 6.859 Å, α = 90.00°, β = 90.00° and γ = 90.00°. Symmetry generates all atoms from Fe at (0.000, 0.000, 0.000), Hg at (0.250, 0.250, 0.750), Se at (0.000, 0.000, 0.500) and Se at (0.250, 0.250, 0.250).

The calculation puts the density of states at the Fermi level at 1.22 states/eV per atom. For the final energy, the calculation gives -52.87 eV/cell. The uncorrected formation energy is 0.629 eV per atom.

Entry 2:
The following is a DFT calculation (GGA-PBE) of a relaxed structure of FeHgSe2.

It has space group R-3m (No. 166, hexagonal axes), with a = 3.3636 Å, b = 3.3636 Å, c = 28.2795 Å, α = 90.00°, β = 90.00° and γ = 120.00°. Symmetry generates all atoms from Fe at (0.0000, 0.0000, 0.0000), Hg at (0.0000, 0.0000, 0.5000) and Se at (0.0000, 0.0000, 0.2830).

The calculation puts the density of states at the Fermi level at 0.47 states/eV per atom. For the final energy, the calculation gives -49.40 eV/cell. The uncorrected formation energy is -0.183 eV per atom.

Entry 3:
The following is a DFT calculation (GGA-PBE) of a relaxed structure of FeHgSe2.

It has space group R3m (No. 160, hexagonal axes), with a = 3.1319 Å, b = 3.1319 Å, c = 29.0941 Å, α = 90.00°, β = 90.00° and γ = 120.00°. Symmetry generates all atoms from Fe at (0.0000, 0.0000, 0.0000), Hg at (0.0000, 0.0000, 0.2600), Se at (0.0000, 0.0000, 0.5026) and Se at (0.0000, 0.0000, 0.7148).

The calculation puts the density of states at the Fermi level at 0.70 states/eV per atom. For the final energy, the calculation gives -45.26 eV/cell. The uncorrected formation energy is 0.162 eV per atom.

Entry 4:
The following is a DFT calculation (GGA-PBE) of a relaxed structure of FeHgSe2.

It has space group P4/mmm (No. 123), with a = 2.983 Å, b = 2.983 Å, c = 9.833 Å, α = 90.00°, β = 90.00° and γ = 90.00°. Symmetry generates all atoms from Fe at (0.000, 0.000, 0.000), Hg at (0.000, 0.000, 0.500) and Se at (0.500, 0.500, 0.157).

The calculation puts the density of states at the Fermi level at 0.58 states/eV per atom. For the final energy, the calculation gives -15.53 eV/cell. The uncorrected formation energy is 0.050 eV per atom.

Entry 5:
The following is a DFT calculation (GGA-PBE) of a relaxed structure of FeHgSe.

It has space group F-43m (No. 216), with a = 6.291 Å, b = 6.291 Å, c = 6.291 Å, α = 90.00°, β = 90.00° and γ = 90.00°. Symmetry generates all atoms from Fe at (0.000, 0.000, 0.000), Hg at (0.250, 0.250, 0.250) and Se at (0.250, 0.250, 0.750).

The calculation puts the density of states at the Fermi level at 1.79 states/eV per atom. For the energy above the most stable polymorph in this dataset, the calculation gives 0.480 eV/atom. For the final energy, the calculation gives -45.30 eV/cell. The uncorrected formation energy is 0.308 eV per atom.

Entry 6:
The following is a DFT calculation (GGA-PBE) of a relaxed structure of FeHgSe2.

It has space group Pm (No. 6), with a = 4.750 Å, b = 3.963 Å, c = 5.838 Å, α = 90.00°, β = 92.96° and γ = 90.00°. Symmetry generates all atoms from Fe at (0.000, 0.000, 0.000), Hg at (0.391, 0.500, 0.849), Se at (0.062, 0.500, 0.225) and Se at (0.690, 0.000, 0.673).

The calculation puts the density of states at the Fermi level at 0.48 states/eV per atom. For the final energy, the calculation gives -15.56 eV/cell. The uncorrected formation energy is 0.043 eV per atom.